Crystalline Li2TbEr2Mg5 at its relaxed geometry. Source: Alexandria, functional PBE.

The structure belongs to space group P4/mbm (No. 127); the cell edges are 10.512, 10.512 and 4.418 Å and the angles 90.00°, 90.00° and 90.00°. The inequivalent atoms are Li at (0.115, 0.385, 0.000), Tb at (0.000, 0.000, 0.000), Er at (0.180, 0.680, 0.000), Mg at (0.000, 0.500, 0.500) and Mg at (0.064, 0.214, 0.500).

The volume comes out at 488.2 Å³ per cell. The magnetic moment is 0.0000 μB per atom. Its energy of formation is -11 meV/atom. As for the uncorrected energy: -0.0943 hartree per atom.



Crystalline Li2Tb2ErMg5 at its relaxed geometry. Source: Alexandria, functional PBE.

The structure belongs to space group P4/mbm (No. 127); the cell edges are 10.541, 10.541 and 4.416 Å and the angles 90.00°, 90.00° and 90.00°. The inequivalent atoms are Li at (0.115, 0.385, 0.000), Tb at (0.180, 0.680, 0.000), Er at (0.000, 0.000, 0.000), Mg at (0.000, 0.500, 0.500) and Mg at (0.063, 0.213, 0.500).

The volume comes out at 490.6 Å³ per cell. The magnetic moment is 0.0000 μB per atom. Its energy of formation is -24 meV/atom. As for the uncorrected energy: -0.0950 hartree per atom.



Crystalline LiErThMg at its relaxed geometry. Source: Alexandria, functional PBE.

The structure belongs to space group F-43m (No. 216); the cell edges are 7.517, 7.517 and 7.517 Å and the angles 90.00°, 90.00° and 90.00°. The inequivalent atoms are Li at (0.000, 0.000, 0.000), Er at (0.250, 0.250, 0.250), Th at (0.250, 0.250, 0.750) and Mg at (0.000, 0.000, 0.500).

The volume comes out at 424.7 Å³ per cell. The magnetic moment is 0.0001 μB per atom. Its energy of formation is 138 meV/atom. As for the uncorrected energy: -0.1372 hartree per atom.



Crystalline Li2ErMg2Tl2 at its relaxed geometry. Source: Alexandria, functional PBE.

The structure belongs to space group R-3m (No. 166, hexagonal axes); the cell edges are 4.8151, 4.8151 and 23.7699 Å and the angles 90.00°, 90.00° and 120.00°. The inequivalent atoms are Li at (0.0000, 0.0000, 0.0828), Er at (0.0000, 0.0000, 0.5000), Mg at (0.0000, 0.0000, 0.3647) and Tl at (0.0000, 0.0000, 0.2356).

The volume comes out at 477.3 Å³ per cell. The magnetic moment is 0.0000 μB per atom. Its energy of formation is -205 meV/atom. As for the uncorrected energy: -0.0932 hartree per atom.



Crystalline LiErMgTl at its relaxed geometry. Source: Alexandria, functional PBE.

The structure belongs to space group F-43m (No. 216); the cell edges are 7.212, 7.212 and 7.212 Å and the angles 90.00°, 90.00° and 90.00°. The inequivalent atoms are Li at (0.000, 0.000, 0.000), Er at (0.000, 0.000, 0.500), Mg at (0.250, 0.250, 0.250) and Tl at (0.250, 0.250, 0.750).

The volume comes out at 375.2 Å³ per cell. The magnetic moment is 0.0000 μB per atom. Its energy of formation is -176 meV/atom. For the distance to the lowest polymorph of the same formula, the calculation gives 6.1 meV per atom. As for the uncorrected energy: -0.1024 hartree per atom.



Crystalline LiErMgTl at its relaxed geometry. Source: Alexandria, functional PBE.

The structure belongs to space group I-4m2 (No. 119); the cell edges are 5.061, 5.061 and 7.130 Å and the angles 90.00°, 90.00° and 90.00°. The inequivalent atoms are Li at (0.000, 0.000, 0.000), Er at (0.000, 0.500, 0.750), Mg at (0.000, 0.500, 0.250) and Tl at (0.000, 0.000, 0.500).

The volume comes out at 182.7 Å³ per cell. The magnetic moment is 0.0000 μB per atom. Its energy of formation is -183 meV/atom. For the distance to the lowest polymorph of the same formula, the calculation gives 0.0 meV per atom. As for the uncorrected energy: -0.1026 hartree per atom.



Crystalline LiErMg2Tl4 at its relaxed geometry. Source: Alexandria, functional PBE.

The structure belongs to space group R-3m (No. 166, hexagonal axes); the cell edges are 5.1303, 5.1303 and 25.5788 Å and the angles 90.00°, 90.00° and 120.00°. The inequivalent atoms are Li at (0.0000, 0.0000, 0.0000), Er at (0.0000, 0.0000, 0.5000), Mg at (0.0000, 0.0000, 0.2494), Tl at (0.0000, 0.0000, 0.1194) and Tl at (0.0000, 0.0000, 0.3711).

The volume comes out at 583.0 Å³ per cell. The magnetic moment is 0.0000 μB per atom. Its energy of formation is -185 meV/atom. As for the uncorrected energy: -0.0947 hartree per atom.



Crystalline Li2Er2TmMg5 at its relaxed geometry. Source: Alexandria, functional PBE.

The structure belongs to space group P4/mbm (No. 127); the cell edges are 10.453, 10.453 and 4.414 Å and the angles 90.00°, 90.00° and 90.00°. The inequivalent atoms are Li at (0.115, 0.385, 0.000), Er at (0.180, 0.680, 0.000), Tm at (0.000, 0.000, 0.000), Mg at (0.000, 0.500, 0.500) and Mg at (0.064, 0.213, 0.500).

The volume comes out at 482.3 Å³ per cell. The magnetic moment is 0.0000 μB per atom. Its energy of formation is -8 meV/atom. As for the uncorrected energy: -0.0936 hartree per atom.



Crystalline Li2ErTm2Mg5 at its relaxed geometry. Source: Alexandria, functional PBE.

The structure belongs to space group P4/mbm (No. 127); the cell edges are 10.441, 10.441 and 4.416 Å and the angles 90.00°, 90.00° and 90.00°. The inequivalent atoms are Li at (0.115, 0.385, 0.000), Er at (0.000, 0.000, 0.000), Tm at (0.180, 0.680, 0.000), Mg at (0.000, 0.500, 0.500) and Mg at (0.064, 0.213, 0.500).

The volume comes out at 481.4 Å³ per cell. The magnetic moment is 0.0000 μB per atom. Its energy of formation is -3 meV/atom. As for the uncorrected energy: -0.0931 hartree per atom.



Crystalline Li2YEr2Mg5 at its relaxed geometry. Source: Alexandria, functional PBE.

The structure belongs to space group P4/mbm (No. 127); the cell edges are 10.510, 10.510 and 4.411 Å and the angles 90.00°, 90.00° and 90.00°. The inequivalent atoms are Li at (0.115, 0.385, 0.000), Y at (0.000, 0.000, 0.000), Er at (0.179, 0.679, 0.000), Mg at (0.000, 0.500, 0.500) and Mg at (0.064, 0.214, 0.500).

The volume comes out at 487.3 Å³ per cell. The magnetic moment is 0.0000 μB per atom. Its energy of formation is -18 meV/atom. As for the uncorrected energy: -0.1013 hartree per atom.



Crystalline Li2Y2ErMg5 at its relaxed geometry. Source: Alexandria, functional PBE.

The structure belongs to space group P4/mbm (No. 127); the cell edges are 10.534, 10.534 and 4.417 Å and the angles 90.00°, 90.00° and 90.00°. The inequivalent atoms are Li at (0.115, 0.385, 0.000), Y at (0.180, 0.680, 0.000), Er at (0.000, 0.000, 0.000), Mg at (0.000, 0.500, 0.500) and Mg at (0.064, 0.213, 0.500).

The volume comes out at 490.2 Å³ per cell. The magnetic moment is 0.0000 μB per atom. Its energy of formation is -37 meV/atom. As for the uncorrected energy: -0.1090 hartree per atom.



Crystalline LiYErMg at its relaxed geometry. Source: Alexandria, functional PBE.

The structure belongs to space group F-43m (No. 216); the cell edges are 7.499, 7.499 and 7.499 Å and the angles 90.00°, 90.00° and 90.00°. The inequivalent atoms are Li at (0.000, 0.000, 0.000), Y at (0.250, 0.250, 0.750), Er at (0.250, 0.250, 0.250) and Mg at (0.000, 0.000, 0.500).

The volume comes out at 421.7 Å³ per cell. The magnetic moment is 0.0001 μB per atom. Its energy of formation is 39 meV/atom. As for the uncorrected energy: -0.1321 hartree per atom.



Crystalline LiNdErMn at its relaxed geometry. Source: Alexandria, functional PBE.

The structure belongs to space group F-43m (No. 216); the cell edges are 7.204, 7.204 and 7.204 Å and the angles 90.00°, 90.00° and 90.00°. The inequivalent atoms are Li at (0.000, 0.000, 0.000), Nd at (0.250, 0.250, 0.250), Er at (0.250, 0.250, 0.750) and Mn at (0.000, 0.000, 0.500).

The volume comes out at 373.8 Å³ per cell. The magnetic moment is 0.6183 μB per atom. Its energy of formation is 143 meV/atom. As for the uncorrected energy: -0.1823 hartree per atom.



Crystalline Li3Er2MnNi12 at its relaxed geometry. Source: Alexandria, functional PBE.

The structure belongs to space group R-3m (No. 166, hexagonal axes); the cell edges are 5.1916, 5.1916 and 31.6649 Å and the angles 90.00°, 90.00° and 120.00°. The inequivalent atoms are Li at (0.0000, 0.5000, 0.0000), Er at (0.0000, 0.0000, 0.1411), Mn at (0.0000, 0.0000, 0.5000), Ni at (0.0008, 0.5004, 0.1099) and Ni at (0.0297, 0.5148, 0.6120).

The volume comes out at 739.1 Å³ per cell. The magnetic moment is 0.2752 μB per atom. Its energy of formation is 95 meV/atom. As for the uncorrected energy: -0.1872 hartree per atom.